1.
Here is a relaxed structure of Na2AlPd2O6 from Alexandria via LeMat-Bulk. Energies are from PBE.

## Properties
E ... -5.569 eV/atom
SG ... No. 12
Total moment ... 0.001 μB/f.u.
Crystal system ... monoclinic

Cell lengths 5.247, 5.247, 5.812 Å; angles 99.58, 99.58, 118.96 degrees
Fractional positions:
1 O 0.240 0.240 0.313
2 O 0.940 0.620 0.309
3 O 0.760 0.760 0.687
4 O 0.380 0.060 0.691
5 O 0.060 0.380 0.691
6 O 0.620 0.940 0.309
7 Pd 0.334 0.666 0.500
8 Pd 0.666 0.334 0.500
9 Na 0.827 0.173 0.000
10 Na 0.173 0.827 0.000
11 Al 0.000 0.000 0.500



2.
Here is a relaxed structure of Na3Pm2AlO6 from Alexandria via LeMat-Bulk. Energies are from PBE.

## Properties
E ... -6.409 eV/atom
SG ... No. 12
Total moment ... 0.000 μB/f.u.
Crystal system ... monoclinic

Cell lengths 5.838, 5.838, 5.864 Å; angles 98.98, 98.98, 120.41 degrees
Fractional positions:
1 O 0.935 0.644 0.795
2 O 0.772 0.772 0.198
3 O 0.644 0.935 0.795
4 O 0.356 0.065 0.205
5 O 0.065 0.356 0.205
6 O 0.228 0.228 0.802
7 Na 0.500 0.500 0.500
8 Na 0.853 0.147 0.500
9 Na 0.147 0.853 0.500
10 Al 0.000 0.000 0.000
11 Pm 0.332 0.668 0.000
12 Pm 0.668 0.332 0.000



3.
Here is a relaxed structure of NaPr2AlO5 from Alexandria via LeMat-Bulk. Energies are from PBE.

## Properties
E ... -7.117 eV/atom
SG ... No. 127
Total moment ... 0.000 μB/f.u.
Crystal system ... tetragonal

Cell lengths 5.714, 6.764, 6.764 Å; angles 90.00, 90.00, 90.00 degrees
Fractional positions:
1 Pr 0.500 0.179 0.321
2 Pr 0.500 0.821 0.679
3 Pr 0.500 0.679 0.179
4 Pr 0.500 0.321 0.821
5 O 0.769 0.631 0.869
6 O 0.500 0.000 0.000
7 O 0.231 0.369 0.131
8 O 0.769 0.131 0.631
9 O 0.769 0.869 0.369
10 O 0.769 0.369 0.131
11 O 0.231 0.869 0.369
12 O 0.500 0.500 0.500
13 O 0.231 0.131 0.631
14 O 0.231 0.631 0.869
15 Al 0.000 0.000 0.500
16 Al 0.000 0.500 0.000
17 Na 0.000 0.500 0.500
18 Na 0.000 0.000 0.000



4.
Here is a relaxed structure of Na2AlPtO4 from Alexandria via LeMat-Bulk. Energies are from PBE.

## Properties
E ... -5.613 eV/atom
SG ... No. 82
Total moment ... 1.068 μB/f.u.
Crystal system ... tetragonal

Cell lengths 5.108, 5.108, 5.108 Å; angles 106.47, 110.99, 110.99 degrees
Last column: magnetic moment on the atom in μB.
Fractional positions:
1 O 0.045 0.166 0.501  0.12
2 O 0.335 0.879 0.834  0.12
3 O 0.955 0.456 0.121  0.12
4 O 0.665 0.499 0.544  0.12
5 Na 0.500 0.750 0.250  0.00
6 Na 0.000 0.000 0.000  0.00
7 Al 0.000 0.500 0.500  0.00
8 Pt 0.500 0.250 0.750  0.51



5.
Here is a relaxed structure of NaPuAlO6 from Alexandria via LeMat-Bulk. Energies are from PBE.

## Properties
E ... -7.618 eV/atom
SG ... No. 149
Total moment ... 0.000 μB/f.u.
Crystal system ... trigonal

Cell lengths 5.198, 5.202, 5.202 Å; angles 120.00, 90.00, 90.00 degrees
Fractional positions:
1 O 0.703 0.708 0.675
2 O 0.703 0.325 0.033
3 O 0.297 0.967 0.675
4 O 0.297 0.325 0.292
5 O 0.703 0.967 0.292
6 O 0.297 0.708 0.033
7 Pu 0.500 0.667 0.333
8 Na 0.000 0.333 0.667
9 Al 0.500 0.000 0.000



6.
Here is a relaxed structure of NaPu2AlO8 from Alexandria via LeMat-Bulk. Energies are from PBE.

## Properties
E ... -8.574 eV/atom
SG ... No. 65
Total moment ... 4.000 μB/f.u.
Crystal system ... orthorhombic

Cell lengths 4.717, 4.716, 6.793 Å; angles 90.00, 90.00, 87.65 degrees
Last column: magnetic moment on the atom in μB.
Fractional positions:
1 O 0.288 0.287 0.000  -0.10
2 O 0.799 0.203 0.786  -0.12
3 O 0.799 0.203 0.214  -0.12
4 O 0.676 0.678 0.500  -0.14
5 O 0.201 0.797 0.786  -0.12
6 O 0.712 0.713 0.000  -0.10
7 O 0.324 0.322 0.500  -0.14
8 O 0.201 0.797 0.214  -0.12
9 Al 0.000 0.000 0.000  0.00
10 Pu 0.500 0.500 0.756  2.54
11 Pu 0.500 0.500 0.244  2.54
12 Na 0.000 0.000 0.500  0.00